This record from Alexandria describes a relaxed SrTl4Pd6 crystal. The functional is PBE.

a b c (Å): 7.6398 7.6398 4.6273
angles (deg): 90.00 90.00 120.00
Space group P-6 (No. 174)
One atom of each set of equivalent atoms:
1 Sr 0.0000 0.0000 0.0000 [1 per cell]
2 Tl 0.1207 0.7322 0.5000 [3 per cell]
3 Tl 0.6667 0.3333 0.0000 [1 per cell]
4 Pd 0.0947 0.4916 0.0000 [3 per cell]
5 Pd 0.4259 0.1343 0.5000 [3 per cell]

Values from the calculation:
The value obtained for the energy of formation from the pure elements is -0.302 eV per atom. For the spin magnetization, the calculation gives 0.00 μB per formula unit. The density of states at the Fermi level is 3.3 states/eV per cell. The relative energy among the computed polymorphs comes out at 0.000 eV per atom.